(1)
Entry from Alexandria via LeMat-Bulk: a geometry-optimized Cd2PPtS structure (PBE).

Cell and atoms, written as extended XYZ:
```
5
Lattice="5.006 0.000 0.000 0.000 4.381 0.000 0.000 0.000 5.006" Properties=species:S:1:pos:R:3 pbc="T T T"
P 0.000 0.000 0.000
S 0.000 2.191 0.000
Pt 2.503 2.191 2.503
Cd 0.000 0.000 2.503
Cd 2.503 0.000 0.000
```

Values from the calculation:
As for the total magnetic moment: 0.00 μB per formula unit. The value obtained for the density of states at the Fermi level is 4.88 states/eV/cell. The calculation puts the formation energy without anion corrections at 645 meV per atom. The calculation puts the calculated density at 7.304 g/cm3. The symmetry is P4/mmm (123).

=====

(2)
Entry from Alexandria via LeMat-Bulk: a geometry-optimized SmCd2P2Pt7 structure (PBE).

Cell and atoms, written as extended XYZ:
```
12
Lattice="-3.637 -1.509 -0.775 0.066 -1.963 3.499 -7.076 9.788 7.168" Properties=species:S:1:pos:R:3 pbc="T T T"
Sm 0.000 0.000 0.000
Cd -6.089 0.812 5.360
Cd -4.558 5.504 4.532
P -7.354 5.274 6.929
P -3.294 1.042 2.963
Pt -1.786 -1.736 1.362
Pt -4.384 2.671 4.081
Pt -6.263 3.645 5.811
Pt -4.564 -0.720 1.991
Pt -2.709 -0.948 4.131
Pt -7.938 7.264 5.761
Pt -6.084 7.037 7.902
```

Values from the calculation:
As for the total magnetic moment: 0.00 μB per formula unit. The formation energy is -0.58 eV per atom. The value obtained for the density of states at the Fermi level is 4.13 states/eV/cell. The calculation puts the calculated density at 13.359 g/cm3. The symmetry is C2/m (12).

=====

(3)
Entry from Alexandria via LeMat-Bulk: a geometry-optimized SmCdP2Pt7 structure (PBE).

Cell and atoms, written as extended XYZ:
```
11
Lattice="-2.000 -3.468 0.525 3.236 -2.058 -1.265 4.345 2.008 14.291" Properties=species:S:1:pos:R:3 pbc="T T T"
Sm 0.618 -2.763 -0.370
Cd 4.099 -1.406 6.328
P 4.409 -3.339 10.265
P 1.171 -0.178 3.286
Pt 2.369 -1.143 1.475
Pt 0.000 0.000 0.000
Pt 5.829 -1.669 11.181
Pt 3.685 -3.229 8.234
Pt -0.250 -1.848 2.367
Pt 1.896 -0.288 5.318
Pt 3.212 -2.374 12.080
```

Values from the calculation:
As for the total magnetic moment: 0.00 μB per formula unit. The formation energy is -0.35 eV per atom. The value obtained for the density of states at the Fermi level is 2.28 states/eV/cell. The calculation puts the calculated density at 11.634 g/cm3. The symmetry is I-4m2 (119).

=====

(4)
Entry from Alexandria via LeMat-Bulk: a geometry-optimized CdSn2P2Pt7 structure (PBE).

Cell and atoms, written as extended XYZ:
```
12
Lattice="3.907 -0.002 0.007 0.003 3.907 0.007 1.930 1.928 15.032" Properties=species:S:1:pos:R:3 pbc="T T T"
Cd 0.000 0.000 0.000
Sn 3.901 3.896 6.399
Sn 1.940 1.937 8.647
P 3.886 3.881 11.526
P 1.954 1.952 3.521
Pt 1.955 1.953 0.007
Pt 1.946 1.944 5.839
Pt 3.894 3.889 9.207
Pt 3.910 1.953 2.220
Pt 1.958 3.908 2.220
Pt 3.883 1.926 12.826
Pt 1.930 3.880 12.826
```

Values from the calculation:
As for the total magnetic moment: 0.00 μB per formula unit. The formation energy is -0.43 eV per atom. The value obtained for the density of states at the Fermi level is 6.10 states/eV/cell. The calculation puts the calculated density at 12.869 g/cm3. The symmetry is C2/m (12).

=====

(5)
Entry from Alexandria via LeMat-Bulk: a geometry-optimized SrCd2PPt structure (PBE).

Cell and atoms, written as extended XYZ:
```
5
Lattice="4.929 0.000 0.000 0.000 5.790 0.000 0.000 0.000 4.929" Properties=species:S:1:pos:R:3 pbc="T T T"
Sr 0.000 2.895 0.000
P 0.000 0.000 0.000
Pt 2.464 2.895 2.464
Cd 0.000 0.000 2.464
Cd 2.464 0.000 0.000
```

Values from the calculation:
As for the total magnetic moment: 0.00 μB per formula unit. The formation energy is 0.06 eV per atom. The value obtained for the density of states at the Fermi level is 2.42 states/eV/cell. The calculation puts the calculated density at 6.357 g/cm3. The symmetry is P4/mmm (123).

=====

(6)
Entry from Alexandria via LeMat-Bulk: a geometry-optimized TbCd2P2Pt7 structure (PBE).

Cell and atoms, written as extended XYZ:
```
12
Lattice="-0.582 1.530 3.647 1.050 -3.493 1.635 13.384 3.492 2.139" Properties=species:S:1:pos:R:3 pbc="T T T"
Tb 0.000 0.000 0.000
Cd 5.821 -0.369 5.644
Cd 8.031 1.898 1.777
P 10.266 1.465 4.672
P 3.586 0.064 2.749
Pt 0.234 -0.981 2.641
Pt 5.750 0.659 3.020
Pt 8.102 0.870 4.401
Pt 2.050 0.444 4.530
Pt 2.867 -2.071 3.523
Pt 10.985 3.600 3.898
Pt 11.802 1.085 2.891
```

Values from the calculation:
As for the total magnetic moment: 0.00 μB per formula unit. The formation energy is -0.62 eV per atom. The value obtained for the density of states at the Fermi level is 3.93 states/eV/cell. The calculation puts the calculated density at 13.574 g/cm3. The symmetry is C2/m (12).

=====

(7)
Entry from Alexandria via LeMat-Bulk: a geometry-optimized TbCdP2Pt7 structure (PBE).

Cell and atoms, written as extended XYZ:
```
11
Lattice="4.018 0.000 0.000 0.000 4.018 0.000 -2.009 -2.009 14.769" Properties=species:S:1:pos:R:3 pbc="T T T"
Tb 2.009 2.009 0.000
Cd 0.000 2.009 7.385
P 2.009 2.009 11.303
P 0.000 0.000 3.466
Pt 0.000 2.009 2.199
Pt 0.000 0.000 0.000
Pt 0.000 2.009 12.570
Pt 2.009 2.009 9.142
Pt 2.009 0.000 2.195
Pt 0.000 0.000 5.627
Pt 2.009 0.000 12.574
```

Values from the calculation:
As for the total magnetic moment: 0.00 μB per formula unit. The formation energy is -0.39 eV per atom. The value obtained for the density of states at the Fermi level is 2.51 states/eV/cell. The calculation puts the calculated density at 11.829 g/cm3. The symmetry is I-4m2 (119).

=====

(8)
Entry from Alexandria via LeMat-Bulk: a geometry-optimized TiCdPPt2 structure (PBE).

Cell and atoms, written as extended XYZ:
```
5
Lattice="4.892 0.000 0.000 0.000 4.917 0.000 0.000 0.000 4.892" Properties=species:S:1:pos:R:3 pbc="T T T"
P 2.446 2.459 2.446
Ti 0.000 2.459 0.000
Pt 0.000 0.000 2.446
Pt 2.446 0.000 0.000
Cd 0.000 0.000 0.000
```

Values from the calculation:
As for the total magnetic moment: 0.00 μB per formula unit. The formation energy is 1.43 eV per atom. The value obtained for the density of states at the Fermi level is 7.24 states/eV/cell. The calculation puts the calculated density at 8.206 g/cm3. The symmetry is P4/mmm (123).

=====

(9)
Entry from Alexandria via LeMat-Bulk: a geometry-optimized TmCd2P2Pt7 structure (PBE).

Cell and atoms, written as extended XYZ:
```
12
Lattice="3.981 -0.003 -0.087 0.002 3.981 -0.087 1.634 1.632 13.757" Properties=species:S:1:pos:R:3 pbc="T T T"
Tm 0.000 0.000 0.000
Cd 4.263 4.258 5.379
Cd 1.354 1.352 8.203
P 3.539 3.535 10.188
P 2.078 2.075 3.394
Pt 1.992 1.989 -0.087
Pt 2.284 2.281 5.640
Pt 3.333 3.329 7.942
Pt 4.034 2.038 2.035
Pt 2.043 4.032 2.035
Pt 3.574 1.578 11.548
Pt 1.583 3.572 11.548
```

Values from the calculation:
As for the total magnetic moment: 0.00 μB per formula unit. The formation energy is -0.65 eV per atom. The value obtained for the density of states at the Fermi level is 3.62 states/eV/cell. The calculation puts the calculated density at 13.799 g/cm3. The symmetry is C2/m (12).

=====

(10)
Entry from Alexandria via LeMat-Bulk: a geometry-optimized YCd2P2Pt7 structure (PBE).

Cell and atoms, written as extended XYZ:
```
12
Lattice="3.979 -0.002 0.002 0.003 3.979 0.002 1.967 1.965 14.419" Properties=species:S:1:pos:R:3 pbc="T T T"
Y 0.000 0.000 0.000
Cd 3.979 3.974 5.866
Cd 1.970 1.968 8.557
P 3.962 3.957 10.903
P 1.987 1.985 3.520
Pt 1.991 1.989 0.002
Pt 1.988 1.985 5.751
Pt 3.961 3.957 8.672
Pt 3.979 1.988 2.215
Pt 1.993 3.977 2.215
Pt 3.957 1.965 12.209
Pt 1.970 3.954 12.209
```

Values from the calculation:
As for the total magnetic moment: 0.00 μB per formula unit. The formation energy is -0.58 eV per atom. The value obtained for the density of states at the Fermi level is 3.19 states/eV/cell. The calculation puts the calculated density at 12.666 g/cm3. The symmetry is C2/m (12).

=====

(11)
Entry from Alexandria via LeMat-Bulk: a geometry-optimized Zn2CdPPt structure (PBE).

Cell and atoms, written as extended XYZ:
```
5
Lattice="-2.975 1.326 -3.479 -3.854 0.383 3.441 1.138 4.564 0.767" Properties=species:S:1:pos:R:3 pbc="T T T"
P -2.845 3.137 0.365
Zn 0.569 2.282 0.383
Zn -1.487 0.663 -1.739
Pt 0.000 0.000 0.000
Cd -1.927 0.192 1.721
```

Values from the calculation:
As for the total magnetic moment: 0.00 μB per formula unit. The formation energy is 0.42 eV per atom. The value obtained for the density of states at the Fermi level is 4.16 states/eV/cell. The calculation puts the calculated density at 6.622 g/cm3. The symmetry is P4/mmm (123).

=====

(12)
Entry from Alexandria via LeMat-Bulk: a geometry-optimized ZnCdPPt2 structure (PBE).

Cell and atoms, written as extended XYZ:
```
5
Lattice="-0.699 4.544 -0.692 -4.669 -0.608 0.725 0.603 0.785 4.543" Properties=species:S:1:pos:R:3 pbc="T T T"
P -2.382 2.360 2.288
Zn 0.000 0.000 0.000
Pt 0.302 0.392 2.271
Pt -0.349 2.272 -0.346
Cd -2.335 -0.304 0.362
```

Values from the calculation:
As for the total magnetic moment: 0.00 μB per formula unit. The formation energy is 0.82 eV per atom. The value obtained for the density of states at the Fermi level is 2.69 states/eV/cell. The calculation puts the calculated density at 9.659 g/cm3. The symmetry is P4/mmm (123).